1.
DFT (GGA-PBE) results for crystalline MnCoW2 at its relaxed geometry.

Lattice parameters (Å, degrees): 3.153 4.183 4.255 90.00 90.00 90.00
Space group Pmmm (No. 47)
Unique sites:
Mn 0.000 0.000 0.000 (multiplicity 1)
Co 0.500 0.000 0.500 (multiplicity 1)
W 0.000 0.500 0.500 (multiplicity 1)
W 0.500 0.500 0.000 (multiplicity 1)

Values from the calculation:
Energy relative to the lowest polymorph listed for this composition: 0.027 eV per atom
Calculated density: 14.24 g/cm3
Calculated formation energy: 0.16 eV per atom
Total moment: 3.62 μB/f.u.

---

2.
DFT (GGA-PBE) results for crystalline PmSbO2 at its relaxed geometry.

Lattice parameters (Å, degrees): 3.7302 3.7302 19.9822 90.00 90.00 120.00
Space group R-3m (No. 166, hexagonal axes)
Unique sites:
Pm 0.0000 0.0000 0.0000 (multiplicity 3)
Sb 0.0000 0.0000 0.5000 (multiplicity 3)
O 0.0000 0.0000 0.1134 (multiplicity 6)

Values from the calculation:
Calculated density: 6.18 g/cm3
Formation energy without anion corrections: -1.262 eV/atom
Total moment: 0.00 μB/f.u.

---

3.
DFT (GGA-PBE) results for crystalline La2Cu2Sb at its relaxed geometry.

Lattice parameters (Å, degrees): 5.777 5.777 7.683 90.00 90.00 90.00
Space group I4/mmm (No. 139)
Unique sites:
La 0.000 0.500 0.250 (multiplicity 4)
Cu 0.000 0.000 0.147 (multiplicity 4)
Sb 0.000 0.000 0.500 (multiplicity 2)

Values from the calculation:
Energy relative to the lowest polymorph listed for this composition: 0.210 eV per atom
Calculated density: 6.82 g/cm3
Formation energy without anion corrections: -0.314 eV/atom
Total moment: 0.00 μB/f.u.